Entry 1:
An optimized crystal structure of CdP2. Source: Alexandria via LeMat-Bulk, functional PBE.

Unit cell a=11.1382 b=11.1382 c=11.1382 alpha=163.04 beta=163.04 gamma=24.08
Closest atoms and distances in Å follow each position.
Fractional coordinates of all 6 atoms:
P (0.5912, 0.5912, 0.0000)  2 P 2.21
P (0.4088, 0.4088, 0.0000)  2 P 2.21
P (0.3412, 0.8412, 0.5000)  2 P 2.21
P (0.1588, 0.6588, 0.5000)  2 P 2.21
Cd (0.7500, 0.2500, 0.5000)  8 P 3.06, 4 Cd 3.29
Cd (0.0000, 0.0000, 0.0000)  8 P 3.06, 4 Cd 3.29

The size of the total moment comes out at 0.00 μB per formula unit. Its uncorrected energy is -0.134 Ha/atom. The theoretical density comes out at 4.92 g/cm³. The value obtained for the energy relative to the elements is 0.2630 eV per atom. Its density of states at the Fermi level is 3.0 states/eV per cell.

---

Entry 2:
An optimized crystal structure of TlNiPb2. Source: Alexandria via LeMat-Bulk, functional PBE.

Unit cell a=5.7297 b=5.7297 c=8.8617 alpha=71.14 beta=71.14 gamma=90.00
Closest atoms and distances in Å follow each position.
Fractional coordinates of all 8 atoms:
Tl (0.7500, 0.2500, 0.5000)  4 Pb 3.18
Tl (0.0000, 0.0000, 0.0000)  4 Pb 3.18
Pb (0.8750, 0.7687, 0.7500)  2 Ni 2.57
Pb (0.5187, 0.1250, 0.2500)  2 Ni 2.57
Pb (0.3750, 0.4813, 0.7500)  2 Ni 2.57
Pb (0.2313, 0.6250, 0.2500)  2 Ni 2.57
Ni (0.5000, 0.5000, 0.0000)  4 Pb 2.57
Ni (0.2500, 0.7500, 0.5000)  4 Pb 2.57

The size of the total moment comes out at 0.00 μB per formula unit. Its uncorrected energy is -0.129 Ha/atom. The calculation puts the energy above the most stable polymorph in this dataset at 282 meV per atom. The theoretical density comes out at 8.70 g/cm³. The value obtained for the energy relative to the elements is 0.3895 eV per atom. Its density of states at the Fermi level is 5.3 states/eV per cell.

---

Entry 3:
An optimized crystal structure of CeP2Ir2. Source: Alexandria via LeMat-Bulk, functional PBE.

Unit cell a=4.1612 b=4.1612 c=9.6053 alpha=90.00 beta=90.00 gamma=90.00
Closest atoms and distances in Å follow each position.
Fractional coordinates of all 10 atoms:
P (0.5000, 0.0000, 0.3597)  5 Ir 2.36-2.48
P (0.5000, 0.5000, 0.0000)  4 Ir 2.35
P (0.0000, 0.0000, 0.0000)  4 Ir 2.35
P (0.0000, 0.5000, 0.6403)  5 Ir 2.36-2.48
Ir (0.5000, 0.5000, 0.5000)  4 P 2.48
Ir (0.0000, 0.0000, 0.5000)  4 P 2.48
Ir (0.0000, 0.5000, 0.8860)  5 P 2.35-2.36
Ir (0.5000, 0.0000, 0.1140)  5 P 2.35-2.36
Ce (0.0000, 0.5000, 0.2423)  8 P 3.12-3.15, 9 Ir 3.19-3.42
Ce (0.5000, 0.0000, 0.7577)  8 P 3.12-3.15, 9 Ir 3.19-3.42

The size of the total moment comes out at 0.24 μB per formula unit. Its uncorrected energy is -0.291 Ha/atom. The theoretical density comes out at 11.71 g/cm³. The value obtained for the energy relative to the elements is -1.0346 eV per atom. Its density of states at the Fermi level is 6.0 states/eV per cell.

---

Entry 4:
An optimized crystal structure of SiOs3Au. Source: Alexandria via LeMat-Bulk, functional PBE.

Unit cell a=4.3999 b=4.3999 c=4.3999 alpha=90.00 beta=90.00 gamma=90.00
Closest atoms and distances in Å follow each position.
Fractional coordinates of all 5 atoms:
Os (0.0000, 0.0000, 0.5000)  2 Si 2.20
Os (0.0000, 0.5000, 0.0000)  2 Si 2.20
Os (0.5000, 0.0000, 0.0000)  2 Si 2.20
Si (0.0000, 0.0000, 0.0000)  6 Os 2.20
Au (0.5000, 0.5000, 0.5000)  12 Os 3.11

The size of the total moment comes out at 1.56 μB per formula unit. Its uncorrected energy is -0.264 Ha/atom. The calculation puts the energy above the most stable polymorph in this dataset at 0 meV per atom. The theoretical density comes out at 15.51 g/cm³. Its density of states at the Fermi level is 5.1 states/eV per cell.

---

Entry 5:
An optimized crystal structure of AgHg2Au. Source: Alexandria via LeMat-Bulk, functional PBE.

Unit cell a=5.4371 b=5.4371 c=5.4371 alpha=134.18 beta=134.18 gamma=66.80
Closest atoms and distances in Å follow each position.
Fractional coordinates of all 4 atoms:
Ag (0.5000, 0.5000, 0.0000)  8 Hg 2.99-3.10, 4 Au 3.10
Hg (0.2500, 0.7500, 0.5000)  4 Au 2.99, 4 Hg 3.10, 4 Ag 3.10
Hg (0.0000, 0.0000, 0.0000)  4 Ag 2.99, 4 Hg 3.10, 4 Au 3.10
Au (0.7500, 0.2500, 0.5000)  8 Hg 2.99-3.10, 4 Ag 3.10

The size of the total moment comes out at 0.00 μB per formula unit. Its uncorrected energy is -0.059 Ha/atom. The theoretical density comes out at 14.41 g/cm³. The value obtained for the energy relative to the elements is 0.0732 eV per atom. Its density of states at the Fermi level is 0.9 states/eV per cell.

---

Entry 6:
An optimized crystal structure of K2InCuBr6. Source: Alexandria via LeMat-Bulk, functional PBE.

Unit cell a=7.6209 b=7.6209 c=7.6209 alpha=60.00 beta=60.00 gamma=60.00
Closest atoms and distances in Å follow each position.
Fractional coordinates of all 10 atoms:
Br (0.2550, 0.7450, 0.7450)  1 Cu 2.64, 1 In 2.75
Br (0.7450, 0.2550, 0.7450)  1 Cu 2.64, 1 In 2.75
Br (0.7450, 0.2550, 0.2550)  1 Cu 2.64, 1 In 2.75
Br (0.2550, 0.7450, 0.2550)  1 Cu 2.64, 1 In 2.75
Br (0.2550, 0.2550, 0.7450)  1 Cu 2.64, 1 In 2.75
Br (0.7450, 0.7450, 0.2550)  1 Cu 2.64, 1 In 2.75
K (0.2500, 0.2500, 0.2500)  12 Br 3.81
K (0.7500, 0.7500, 0.7500)  12 Br 3.81
In (0.0000, 0.0000, 0.0000)  6 Br 2.75
Cu (0.5000, 0.5000, 0.5000)  6 Br 2.64

The size of the total moment comes out at 0.00 μB per formula unit. Its uncorrected energy is -0.108 Ha/atom. The theoretical density comes out at 3.90 g/cm³. Its density of states at the Fermi level is 2.8 states/eV per cell.

---

Entry 7:
An optimized crystal structure of PmSi7Ni12. Source: Alexandria via LeMat-Bulk, functional PBE.

Unit cell a=6.3751 b=7.0639 c=7.0639 alpha=111.36 beta=107.51 gamma=107.51
Closest atoms and distances in Å follow each position.
Fractional coordinates of all 20 atoms:
Ni (0.5414, 0.6781, 0.0000)  4 Si 2.32-2.37, 1 Ni 2.41
Ni (0.2553, 0.2553, 0.5106)  4 Si 2.34-2.37
Ni (0.0000, 0.7447, 0.2553)  4 Si 2.34-2.37
Ni (0.2553, 0.5106, 0.2553)  4 Si 2.34-2.37
Ni (0.8633, 0.3219, 0.3219)  4 Si 2.32-2.37, 1 Ni 2.41
Ni (0.1367, 0.6781, 0.6781)  4 Si 2.32-2.37, 1 Ni 2.41
Ni (0.7447, 0.4894, 0.7447)  4 Si 2.34-2.37
Ni (0.5414, 0.0000, 0.6781)  4 Si 2.32-2.37, 1 Ni 2.41
Ni (0.4586, 0.3219, 0.0000)  4 Si 2.32-2.37, 1 Ni 2.41
Ni (0.4586, 0.0000, 0.3219)  4 Si 2.32-2.37, 1 Ni 2.41
Ni (0.0000, 0.2553, 0.7447)  4 Si 2.34-2.37
Ni (0.7447, 0.7447, 0.4894)  4 Si 2.34-2.37
Si (0.4777, 0.6464, 0.6464)  7 Ni 2.32-2.37, 1 Si 2.49
Si (0.1686, 0.6464, 0.0000)  7 Ni 2.32-2.37, 1 Si 2.49
Si (0.5000, 0.0000, 0.0000)  6 Ni 2.37
Si (0.8314, 0.3536, 0.0000)  7 Ni 2.32-2.37, 1 Si 2.49
Si (0.1686, 0.0000, 0.6464)  7 Ni 2.32-2.37, 1 Si 2.49
Si (0.5223, 0.3536, 0.3536)  7 Ni 2.32-2.37, 1 Si 2.49
Si (0.8314, 0.0000, 0.3536)  7 Ni 2.32-2.37, 1 Si 2.49
Pm (0.0000, 0.0000, 0.0000)  12 Ni 2.98-3.12, 8 Si 3.00-3.19

The size of the total moment comes out at 0.00 μB per formula unit. Its uncorrected energy is -0.222 Ha/atom. The theoretical density comes out at 6.93 g/cm³. Its density of states at the Fermi level is 7.2 states/eV per cell.

---

Entry 8:
An optimized crystal structure of PrMg2Al. Source: Alexandria via LeMat-Bulk, functional PBE.

Unit cell a=5.0929 b=5.0929 c=5.0929 alpha=60.00 beta=60.00 gamma=60.00
Closest atoms and distances in Å follow each position.
Fractional coordinates of all 4 atoms:
Pr (0.0000, 0.0000, 0.0000)  8 Mg 3.12
Mg (0.7500, 0.7500, 0.7500)  4 Al 3.12, 4 Pr 3.12
Mg (0.2500, 0.2500, 0.2500)  4 Pr 3.12, 4 Al 3.12
Al (0.5000, 0.5000, 0.5000)  8 Mg 3.12

The size of the total moment comes out at 0.00 μB per formula unit. Its uncorrected energy is -0.111 Ha/atom. The theoretical density comes out at 3.85 g/cm³. The value obtained for the energy relative to the elements is -0.1003 eV per atom. Its density of states at the Fermi level is 1.7 states/eV per cell.